Record 1
Density functional theory data (PBE-GGA) for Tb2Pm2YMg5 after structural relaxation.

Cell lengths 5.0889, 10.6301, 10.6301 Å; angles 90.00, 90.00, 90.00 degrees
Fractional positions:
Tb1 0.0000 0.1208 0.6208
Tb2 0.0000 0.8792 0.3792
Tb3 0.0000 0.6208 0.8792
Tb4 0.0000 0.3792 0.1208
Pm1 0.0000 0.6767 0.1767
Pm2 0.0000 0.3233 0.8233
Pm3 0.0000 0.1767 0.3233
Pm4 0.0000 0.8233 0.6767
Y1 0.0000 0.0000 0.0000
Y2 0.0000 0.5000 0.5000
Mg1 0.5000 0.1971 0.0703
Mg2 0.5000 0.8029 0.9297
Mg3 0.5000 0.0703 0.8029
Mg4 0.5000 0.6971 0.4297
Mg5 0.5000 0.9297 0.1971
Mg6 0.5000 0.3029 0.5703
Mg7 0.5000 0.5703 0.6971
Mg8 0.5000 0.4297 0.3029
Mg9 0.5000 0.5000 0.0000
Mg10 0.5000 0.0000 0.5000

Computed properties:
- Density: 4.7 g/cm³
- Crystal system: tetragonal
- Formation energy: 0.032 eV per atom
- DOS at the Fermi energy: 13.852 states/eV per cell
- Volume: 28.75 A^3/atom


Record 2
Density functional theory data (PBE-GGA) for NdDy4Zn after structural relaxation.

Cell lengths 6.2156, 9.0351, 8.1226 Å; angles 114.53, 100.24, 111.62 degrees
Fractional positions:
Nd1 0.3499 0.5999 0.1998
Nd2 0.6501 0.4001 0.8002
Dy1 0.0361 0.1658 0.7825
Dy2 0.7668 0.7145 0.6386
Dy3 0.2464 0.6167 0.7825
Dy4 0.3718 0.9241 0.6386
Dy5 0.6282 0.0759 0.3614
Dy6 0.7536 0.3833 0.2175
Dy7 0.2332 0.2855 0.3614
Dy8 0.9639 0.8342 0.2175
Zn1 0.2497 0.9997 0.9995
Zn2 0.7503 0.0003 0.0005

Computed properties:
- Density: 8.0 g/cm³
- Crystal system: monoclinic
- Formation energy: -0.003 eV per atom
- DOS at the Fermi energy: 17.039 states/eV per cell
- Excess energy over the best structure of this formula in the dataset: 94.3 meV per atom
- Volume: 29.59 A^3/atom


Record 3
Density functional theory data (PBE-GGA) for SrPmIr after structural relaxation.

Cell lengths 3.6050, 3.6050, 7.3956 Å; angles 104.11, 104.11, 90.00 degrees
Fractional positions:
Sr1 0.0359 0.0359 0.0719
Ir1 0.6802 0.6802 0.3604
Pm1 0.2839 0.2839 0.5677

Computed properties:
- Density: 7.8 g/cm³
- Crystal system: tetragonal
- Formation energy: -0.326 eV per atom
- DOS at the Fermi energy: 1.638 states/eV per cell
- Excess energy over the best structure of this formula in the dataset: 101.5 meV per atom
- Volume: 30.07 A^3/atom


Record 4
Density functional theory data (PBE-GGA) for SiSeS2N after structural relaxation.

Cell lengths 4.7614, 4.7614, 3.3604 Å; angles 90.00, 90.00, 90.00 degrees
Site moments in Bohr magnetons follow the coordinates.
Fractional positions:
S1 0.0000 0.5000 0.0000  -0.01
S2 0.5000 0.0000 0.0000  -0.01
Si1 0.0000 0.0000 0.0000  0.01
Se1 0.5000 0.5000 0.5000  0.00
N1 0.0000 0.0000 0.5000  -0.06

Computed properties:
- Density: 4.0 g/cm³
- Crystal system: tetragonal
- DOS at the Fermi energy: 2.887 states/eV per cell
- Formation energy (no corrections): 0.476 eV per atom
- Excess energy over the best structure of this formula in the dataset: 0.0 meV per atom
- Volume: 15.24 A^3/atom


Record 5
Density functional theory data (PBE-GGA) for Pm4NdSc2 after structural relaxation.

Cell lengths 8.6900, 6.4727, 8.9621 Å; angles 90.00, 117.55, 90.00 degrees
Fractional positions:
Pm1 0.5917 0.4937 0.2284
Pm2 0.0564 0.7500 0.8306
Pm3 0.9436 0.2500 0.1694
Pm4 0.5917 0.0063 0.2284
Pm5 0.0055 0.2500 0.5653
Pm6 0.4083 0.9937 0.7716
Pm7 0.4083 0.5063 0.7716
Pm8 0.9945 0.7500 0.4347
Nd1 0.2486 0.7500 0.2606
Nd2 0.7514 0.2500 0.7394
Sc1 0.7981 0.7500 0.0005
Sc2 0.2019 0.2500 0.9995
Sc3 0.3647 0.2500 0.4191
Sc4 0.6353 0.7500 0.5809

Computed properties:
- Density: 6.0 g/cm³
- Crystal system: monoclinic
- Formation energy: 0.177 eV per atom
- DOS at the Fermi energy: 26.018 states/eV per cell
- Excess energy over the best structure of this formula in the dataset: 0.0 meV per atom
- Volume: 31.92 A^3/atom


Record 6
Density functional theory data (PBE-GGA) for YIrSeBr2 after structural relaxation.

Cell lengths 5.4223, 5.4223, 5.6714 Å; angles 90.00, 90.00, 90.00 degrees
Site moments in Bohr magnetons follow the coordinates.
Fractional positions:
Y1 0.0000 0.0000 0.0000  0.01
Ir1 0.5000 0.5000 0.5000  2.18
Se1 0.0000 0.0000 0.5000  -0.03
Br1 0.0000 0.5000 0.0000  0.02
Br2 0.5000 0.0000 0.0000  0.02

Computed properties:
- Density: 5.2 g/cm³
- Crystal system: tetragonal
- DOS at the Fermi energy: 9.431 states/eV per cell
- Formation energy (no corrections): 0.184 eV per atom
- Excess energy over the best structure of this formula in the dataset: 341.3 meV per atom
- Volume: 33.35 A^3/atom